## A
VASP calculation (PBE) on an optimized crystal structure of Zr3TlCd.

```
data_Zr3TlCd
_chemical_formula_sum 'Zr18 Tl6 Cd6'
_cell_length_a 8.4264
_cell_length_b 8.4264
_cell_length_c 11.6799
_cell_angle_alpha 90.00
_cell_angle_beta 90.00
_cell_angle_gamma 120.00
_symmetry_space_group_name_H-M 'R -3'
_symmetry_Int_Tables_number 148
_symmetry_space_group_name_Hall '-R 3'
loop_
_atom_site_label
_atom_site_type_symbol
_atom_site_fract_x
_atom_site_fract_y
_atom_site_fract_z
Zr1 Zr 0.0035 0.6943 0.2496
Tl1 Tl 0.0000 0.0000 0.1222
Cd1 Cd 0.0000 0.0000 0.3850
```

Summary:
Total magnetization = 0.0001 μB per atom

## B
VASP calculation (PBE) on an optimized crystal structure of Zr3TlCd.

```
data_Zr3TlCd
_chemical_formula_sum 'Zr3 Tl1 Cd1'
_cell_length_a 5.241
_cell_length_b 5.241
_cell_length_c 5.241
_cell_angle_alpha 90.00
_cell_angle_beta 90.00
_cell_angle_gamma 90.00
_symmetry_space_group_name_H-M 'P m -3 m'
_symmetry_Int_Tables_number 221
_symmetry_space_group_name_Hall '-P 4 2 3'
loop_
_atom_site_label
_atom_site_type_symbol
_atom_site_fract_x
_atom_site_fract_y
_atom_site_fract_z
Zr1 Zr 0.000 0.000 0.500
Tl1 Tl 0.500 0.500 0.500
Cd1 Cd 0.000 0.000 0.000
```

Summary:
Total magnetization = 0.0000 μB per atom

## C
VASP calculation (PBE) on an optimized crystal structure of Zr3TlCd.

```
data_Zr3TlCd
_chemical_formula_sum 'Zr12 Tl4 Cd4'
_cell_length_a 5.720
_cell_length_b 15.665
_cell_length_c 5.488
_cell_angle_alpha 90.00
_cell_angle_beta 90.00
_cell_angle_gamma 90.00
_symmetry_space_group_name_H-M 'C m c m'
_symmetry_Int_Tables_number 63
_symmetry_space_group_name_Hall '-C 2c 2'
loop_
_atom_site_label
_atom_site_type_symbol
_atom_site_fract_x
_atom_site_fract_y
_atom_site_fract_z
Zr1 Zr 0.000 0.000 0.000
Zr2 Zr 0.246 0.155 0.250
Tl1 Tl 0.000 0.174 0.750
Cd1 Cd 0.000 0.452 0.250
```

Summary:
Total magnetization = 0.0000 μB per atom

Which structure wins on stability? C wins.

## A
VASP calculation (PBE) on an optimized crystal structure of Tm5Cd.

```
data_Tm5Cd
_chemical_formula_sum 'Tm5 Cd1'
_cell_length_a 3.498
_cell_length_b 3.498
_cell_length_c 14.006
_cell_angle_alpha 90.00
_cell_angle_beta 90.00
_cell_angle_gamma 90.00
_symmetry_space_group_name_H-M 'P 4/m m m'
_symmetry_Int_Tables_number 123
_symmetry_space_group_name_Hall '-P 4 2'
loop_
_atom_site_label
_atom_site_type_symbol
_atom_site_fract_x
_atom_site_fract_y
_atom_site_fract_z
Tm1 Tm 0.000 0.000 0.000
Tm2 Tm 0.000 0.000 0.351
Tm3 Tm 0.500 0.500 0.175
Cd1 Cd 0.500 0.500 0.500
```

Summary:
Total magnetization = 0.0003 μB per atom

## B
VASP calculation (PBE) on an optimized crystal structure of Tm5Cd.

```
data_Tm5Cd
_chemical_formula_sum 'Tm10 Cd2'
_cell_length_a 12.098
_cell_length_b 3.668
_cell_length_c 8.433
_cell_angle_alpha 90.00
_cell_angle_beta 112.60
_cell_angle_gamma 90.00
_symmetry_space_group_name_H-M 'C 1 2/m 1'
_symmetry_Int_Tables_number 12
loop_
_symmetry_equiv_pos_as_xyz
'x,y,z'
'-x,-y,-z'
'-x,y,-z'
'x,-y,z'
'x+1/2,y+1/2,z'
'-x+1/2,-y+1/2,-z'
'-x+1/2,y+1/2,-z'
'x+1/2,-y+1/2,z'
loop_
_atom_site_label
_atom_site_type_symbol
_atom_site_fract_x
_atom_site_fract_y
_atom_site_fract_z
Tm1 Tm 0.000 0.000 0.000
Tm2 Tm 0.147 0.500 0.354
Tm3 Tm 0.171 0.500 0.809
Cd1 Cd 0.000 0.000 0.500
```

Summary:
Total magnetization = 0.0000 μB per atom

Which structure wins on stability? A wins.

## A
VASP calculation (PBE) on an optimized crystal structure of TmCd6.

```
data_TmCd6
_chemical_formula_sum 'Tm2 Cd12'
_cell_length_a 6.028
_cell_length_b 6.028
_cell_length_c 9.204
_cell_angle_alpha 90.00
_cell_angle_beta 90.00
_cell_angle_gamma 90.00
_symmetry_space_group_name_H-M 'P 4/n b m'
_symmetry_Int_Tables_number 125
loop_
_symmetry_equiv_pos_as_xyz
'x,y,z'
'-x,-y,-z'
'-y+1/2,x,z'
'y+1/2,-x,-z'
'-x+1/2,-y+1/2,z'
'x+1/2,y+1/2,-z'
'y,-x+1/2,z'
'-y,x+1/2,-z'
'x,-y+1/2,-z'
'-x,y+1/2,z'
'-y+1/2,-x+1/2,-z'
'y+1/2,x+1/2,z'
'-x+1/2,y,-z'
'x+1/2,-y,z'
'y,x,-z'
'-y,-x,z'
loop_
_atom_site_label
_atom_site_type_symbol
_atom_site_fract_x
_atom_site_fract_y
_atom_site_fract_z
Tm1 Tm 0.250 0.750 0.000
Cd1 Cd 0.076 0.576 0.358
Cd2 Cd 0.250 0.250 0.150
```

Summary:
Total magnetization = 0.0000 μB per atom

## B
VASP calculation (PBE) on an optimized crystal structure of TmCd6.

```
data_TmCd6
_chemical_formula_sum 'Tm2 Cd12'
_cell_length_a 7.738
_cell_length_b 7.738
_cell_length_c 7.738
_cell_angle_alpha 90.00
_cell_angle_beta 90.00
_cell_angle_gamma 90.00
_symmetry_space_group_name_H-M 'I m -3 m'
_symmetry_Int_Tables_number 229
_symmetry_space_group_name_Hall '-I 4 2 3'
loop_
_atom_site_label
_atom_site_type_symbol
_atom_site_fract_x
_atom_site_fract_y
_atom_site_fract_z
Tm1 Tm 0.000 0.000 0.000
Cd1 Cd 0.000 0.250 0.500
```

Summary:
Total magnetization = 0.0000 μB per atom

Which structure wins on stability? A wins.

## A
VASP calculation (PBE) on an optimized crystal structure of Tm4Cd.

```
data_Tm4Cd
_chemical_formula_sum 'Tm16 Cd4'
_cell_length_a 6.776
_cell_length_b 17.300
_cell_length_c 5.968
_cell_angle_alpha 90.00
_cell_angle_beta 123.67
_cell_angle_gamma 90.00
_symmetry_space_group_name_H-M 'C 1 2/c 1'
_symmetry_Int_Tables_number 15
loop_
_symmetry_equiv_pos_as_xyz
'x,y,z'
'-x,-y,-z'
'-x,y,-z+1/2'
'x,-y,z+1/2'
'x+1/2,y+1/2,z'
'-x+1/2,-y+1/2,-z'
'-x+1/2,y+1/2,-z+1/2'
'x+1/2,-y+1/2,z+1/2'
loop_
_atom_site_label
_atom_site_type_symbol
_atom_site_fract_x
_atom_site_fract_y
_atom_site_fract_z
Tm1 Tm 0.179 0.084 0.128
Tm2 Tm 0.235 0.289 0.236
Cd1 Cd 0.000 0.441 0.250
```

Summary:
Total magnetization = 0.0000 μB per atom

## B
VASP calculation (PBE) on an optimized crystal structure of Tm4Cd.

```
data_Tm4Cd
_chemical_formula_sum 'Tm4 Cd1'
_cell_length_a 5.574
_cell_length_b 5.574
_cell_length_c 5.574
_cell_angle_alpha 90.00
_cell_angle_beta 90.00
_cell_angle_gamma 90.00
_symmetry_space_group_name_H-M 'P m -3 m'
_symmetry_Int_Tables_number 221
_symmetry_space_group_name_Hall '-P 4 2 3'
loop_
_atom_site_label
_atom_site_type_symbol
_atom_site_fract_x
_atom_site_fract_y
_atom_site_fract_z
Tm1 Tm 0.000 0.000 0.000
Tm2 Tm 0.000 0.500 0.500
Cd1 Cd 0.500 0.500 0.500
```

Summary:
Total magnetization = 0.0000 μB per atom

## C
VASP calculation (PBE) on an optimized crystal structure of Tm4Cd.

```
data_Tm4Cd
_chemical_formula_sum 'Tm16 Cd4'
_cell_length_a 5.178
_cell_length_b 6.666
_cell_length_c 16.175
_cell_angle_alpha 90.00
_cell_angle_beta 90.00
_cell_angle_gamma 90.00
_symmetry_space_group_name_H-M 'I m m a'
_symmetry_Int_Tables_number 74
_symmetry_space_group_name_Hall '-I 2b 2'
loop_
_atom_site_label
_atom_site_type_symbol
_atom_site_fract_x
_atom_site_fract_y
_atom_site_fract_z
Tm1 Tm 0.000 0.000 0.000
Tm2 Tm 0.000 0.003 0.196
Tm3 Tm 0.000 0.250 0.606
Cd1 Cd 0.000 0.250 0.388
```

Summary:
Total magnetization = 0.0000 μB per atom

Which structure wins on stability? C wins.

## A
VASP calculation (PBE) on an optimized crystal structure of TmCd4.

```
data_TmCd4
_chemical_formula_sum 'Tm1 Cd4'
_cell_length_a 5.942
_cell_length_b 5.942
_cell_length_c 5.942
_cell_angle_alpha 90.00
_cell_angle_beta 90.00
_cell_angle_gamma 90.00
_symmetry_space_group_name_H-M 'P m -3 m'
_symmetry_Int_Tables_number 221
_symmetry_space_group_name_Hall '-P 4 2 3'
loop_
_atom_site_label
_atom_site_type_symbol
_atom_site_fract_x
_atom_site_fract_y
_atom_site_fract_z
Tm1 Tm 0.000 0.000 0.000
Cd1 Cd 0.000 0.000 0.500
Cd2 Cd 0.500 0.500 0.500
```

Summary:
Total magnetization = 0.0000 μB per atom

## B
VASP calculation (PBE) on an optimized crystal structure of TmCd4.

```
data_TmCd4
_chemical_formula_sum 'Tm4 Cd16'
_cell_length_a 4.831
_cell_length_b 6.526
_cell_length_c 14.809
_cell_angle_alpha 90.00
_cell_angle_beta 90.00
_cell_angle_gamma 90.00
_symmetry_space_group_name_H-M 'I m m a'
_symmetry_Int_Tables_number 74
_symmetry_space_group_name_Hall '-I 2b 2'
loop_
_atom_site_label
_atom_site_type_symbol
_atom_site_fract_x
_atom_site_fract_y
_atom_site_fract_z
Tm1 Tm 0.000 0.250 0.104
Cd1 Cd 0.000 0.000 0.500
Cd2 Cd 0.000 0.006 0.302
Cd3 Cd 0.000 0.250 0.888
```

Summary:
Total magnetization = 0.0000 μB per atom

Which structure wins on stability? B wins.